## TaCr4B2 (GGA-PBE)

Data for an optimized crystal structure of TaCr4B2.

Properties
Its energy of formation is -0.2809 eV per atom.

Unit cell a=3.0185 b=3.6512 c=7.0318 alpha=105.05 beta=90.00 gamma=90.00
Fractional coordinates of all 7 atoms:
Cr (0.5000, 0.1705, 0.3410)
Cr (0.5000, 0.8295, 0.6590)
Cr (0.0000, 0.3240, 0.6479)
Cr (0.0000, 0.6760, 0.3521)
Ta (0.0000, 0.0000, 0.0000)
B (0.5000, 0.4360, 0.8720)
B (0.5000, 0.5640, 0.1280)

---

## CaScSi2 (GGA-PBE)

Data for an optimized crystal structure of CaScSi2.

Properties
The value obtained for the energy above the most stable polymorph in this dataset is 482 meV per atom. For the uncorrected formation energy, the calculation gives 0.031 eV per atom.

Unit cell a=4.8760 b=4.8760 c=9.6000 alpha=75.29 beta=75.29 gamma=90.00
Fractional coordinates of all 8 atoms:
Si (0.7592, 0.1250, 0.2500)
Si (0.3750, 0.2408, 0.7500)
Si (0.9908, 0.6250, 0.2500)
Si (0.8750, 0.0092, 0.7500)
Ca (0.2500, 0.7500, 0.5000)
Ca (0.5000, 0.5000, 0.0000)
Sc (0.0000, 0.0000, 0.0000)
Sc (0.7500, 0.2500, 0.5000)

---

## Li2Sm3Hg4 (GGA-PBE)

Data for an optimized crystal structure of Li2Sm3Hg4.

Properties
The value obtained for the energy above the most stable polymorph in this dataset is 11 meV per atom. Its energy of formation is -0.3830 eV per atom.

Unit cell a=4.9363 b=6.0345 c=8.3651 alpha=77.63 beta=72.84 gamma=65.86
Fractional coordinates of all 9 atoms:
Hg (0.7105, 0.6415, 0.9376)
Hg (0.0738, 0.2463, 0.6060)
Hg (0.2895, 0.3585, 0.0624)
Hg (0.9262, 0.7537, 0.3940)
Sm (0.0000, 0.0000, 0.0000)
Sm (0.3399, 0.6461, 0.6742)
Sm (0.6601, 0.3539, 0.3258)
Li (0.3738, 0.9563, 0.2960)
Li (0.6262, 0.0437, 0.7040)

---

## RbNbIO6 (GGA-PBE)

Data for an optimized crystal structure of RbNbIO6.

Properties
For the uncorrected formation energy, the calculation gives -1.421 eV per atom.

Unit cell a=5.4674 b=5.4674 c=6.3195 alpha=90.00 beta=90.00 gamma=60.00
Fractional coordinates of all 9 atoms:
O (0.0039, 0.5919, 0.6820)
O (0.4042, 0.5919, 0.3180)
O (0.5919, 0.0040, 0.3180)
O (0.0039, 0.4042, 0.3180)
O (0.4041, 0.0040, 0.6820)
O (0.5918, 0.4041, 0.6820)
Nb (0.6667, 0.6667, 0.5000)
Rb (0.0000, 0.0000, 0.0000)
I (0.3333, 0.3333, 0.5000)

---

no.,calculated total energy (eV/atom),magnetic moment (Bohr magnetons per cell)
1,-9.381,0.00
2,-4.764,0.00
3,-2.515,0.00
4,-6.125,0.00